First-principles (PBE) data for a geometry-optimized TbGd2Pa structure, as listed in Alexandria.

space-group type	R-3m, No. 166
energy above the most stable polymorph in this dataset	0.1590	eV/atom
energy of formation	286	meV per atom

Cell: 12.396 12.396 12.396 Å, 15.49 15.49 15.49°
Sites, in units of the cell vectors:
Tb1 0.000 0.000 0.000
Gd1 0.414 0.414 0.414
Gd2 0.586 0.586 0.586
Pa1 0.500 0.500 0.500